(1)
A relaxed structure of LiZnAu4, computed with PBE.

a b c (Å): 3.7293 5.1711 6.6364
angles (deg): 109.55 73.68 68.86
Last column: nearest neighbours and their distance in Å.
Sites, in units of the cell vectors:
Au: 0.8282 0.5130 0.8307  2 Li 2.77, 2 Zn 2.79, 7 Au 2.87-2.93
Au: 0.3267 0.0207 0.3259  2 Zn 2.75, 2 Li 2.76, 7 Au 2.87-2.98
Li: 0.0000 0.0000 0.0000  8 Au 2.76-2.77, 2 Zn 2.91
Zn: 0.5000 0.5000 0.5000  8 Au 2.75-2.79, 2 Li 2.91
Au: 0.1718 0.4870 0.1693  2 Li 2.77, 2 Zn 2.79, 7 Au 2.87-2.93
Au: 0.6733 0.9793 0.6741  2 Zn 2.75, 2 Li 2.76, 7 Au 2.87-2.98

Summary:
E_form, meV per atom: -283
Distance to the lowest polymorph of the same formula, meV per atom: 0

(2)
A relaxed structure of Li4Zn5Au, computed with PBE.

a b c (Å): 4.9103 6.5771 6.5771
angles (deg): 81.99 68.08 68.08
Last column: nearest neighbours and their distance in Å.
Sites, in units of the cell vectors:
Zn: 0.7581 0.3878 0.9998  2 Li 2.65, 3 Zn 2.66-2.81, 1 Au 2.69
Li: 0.4457 0.2895 0.7107  3 Zn 2.65-2.80, 1 Au 2.74
Zn: 0.1457 0.6122 0.0002  2 Li 2.65, 3 Zn 2.66-2.81, 1 Au 2.69
Li: 0.4459 0.7105 0.2893  3 Zn 2.65-2.80, 1 Au 2.74
Li: 0.1564 0.2893 0.2895  3 Zn 2.65-2.80, 1 Au 2.74
Zn: 0.1459 0.9998 0.6122  2 Li 2.65, 3 Zn 2.66-2.81, 1 Au 2.69
Zn: 0.7058 0.0000 0.0000  2 Au 2.42-2.49, 4 Zn 2.66
Zn: 0.7579 0.0002 0.3878  2 Li 2.65, 3 Zn 2.66-2.81, 1 Au 2.69
Li: 0.7352 0.7107 0.7105  3 Zn 2.65-2.80, 1 Au 2.74
Au: 0.2138 0.0000 0.0000  6 Zn 2.42-2.69

Summary:
E_form, meV per atom: -120

(3)
A relaxed structure of Li3ZnAu6, computed with PBE.

a b c (Å): 5.1819 8.3595 8.3595
angles (deg): 105.44 90.00 90.00
Last column: nearest neighbours and their distance in Å.
Sites, in units of the cell vectors:
Zn: 0.1220 0.1685 0.8315  5 Au 2.61-2.73, 3 Li 2.72-2.82
Au: 0.7714 0.0281 0.9719  2 Zn 2.61-2.73, 4 Li 2.68-2.75, 2 Au 2.70
Li: 0.0977 0.3724 0.6276  1 Zn 2.72, 3 Au 2.72-3.03
Au: 0.9050 0.4425 0.0118  1 Zn 2.64, 2 Li 2.66-2.81, 4 Au 2.78-2.86
Au: 0.2714 0.9719 0.0281  2 Zn 2.61-2.73, 4 Li 2.68-2.75, 2 Au 2.70
Au: 0.4050 0.0118 0.4425  1 Zn 2.64, 2 Li 2.66-2.81, 4 Au 2.78-2.86
Au: 0.5847 0.3145 0.4091  3 Li 2.62-2.72, 4 Au 2.78-2.88
Au: 0.0866 0.7522 0.2478  1 Zn 2.63, 2 Au 2.86, 2 Li 2.90
Zn: 0.6220 0.8315 0.1685  5 Au 2.61-2.73, 3 Li 2.72-2.82
Li: 0.9641 0.0989 0.2889  7 Au 2.62-2.90, 1 Zn 2.82
Au: 0.0847 0.4091 0.3145  3 Li 2.62-2.72, 4 Au 2.78-2.88
Au: 0.5847 0.5909 0.6855  3 Li 2.62-2.72, 4 Au 2.78-2.88
Au: 0.4050 0.5575 0.9882  1 Zn 2.64, 2 Li 2.66-2.81, 4 Au 2.78-2.86
Au: 0.5866 0.2478 0.7522  1 Zn 2.63, 2 Au 2.86, 2 Li 2.90
Li: 0.5977 0.6276 0.3724  1 Zn 2.72, 3 Au 2.72-3.03
Au: 0.9050 0.9882 0.5575  1 Zn 2.64, 2 Li 2.66-2.81, 4 Au 2.78-2.86
Li: 0.4641 0.9011 0.7111  7 Au 2.62-2.90, 1 Zn 2.82
Li: 0.4641 0.2889 0.0989  7 Au 2.62-2.90, 1 Zn 2.82
Li: 0.9641 0.7111 0.9011  7 Au 2.62-2.90, 1 Zn 2.82
Au: 0.0847 0.6855 0.5909  3 Li 2.62-2.72, 4 Au 2.78-2.88

Summary:
E_form, meV per atom: -311
Distance to the lowest polymorph of the same formula, meV per atom: 92

| no. | density of states at the Fermi level (states/eV/cell) |
| --- | --- |
| 1 | 2.34 |
| 2 | 2.67 |
| 3 | 6.07 |